Entry 1:
Density functional theory data (PBE-GGA) for an optimized crystal structure of Sm3Mg3ZnIr2.

```
Sm3Mg3ZnIr2
1.0
7.474 0.000 0.000
-3.737 6.473 0.000
0.000 0.000 4.088
Ir Mg Sm Zn
2 3 3 1
direct
0.667 0.333 0.500
0.333 0.667 0.500
0.750 0.000 0.500
0.250 0.250 0.500
0.000 0.750 0.500
0.419 0.000 0.000
0.000 0.419 0.000
0.581 0.581 0.000
0.000 0.000 0.000
```

Computed properties:
Calculated total energy ... -4.6961 eV per atom
Magnetic moment ... 0.00 μB per formula unit
Mass density ... 8.2 g/cm3

***

Entry 2:
Density functional theory data (PBE-GGA) for an optimized crystal structure of MgSn4Ir.

```
MgSn4Ir
1.0
4.567 0.000 0.000
0.000 4.567 0.000
0.000 0.000 7.261
Ir Mg Sn
1 1 4
direct
0.500 0.500 0.500
0.000 0.000 0.000
0.500 0.000 0.282
0.000 0.500 0.282
0.500 0.000 0.718
0.000 0.500 0.718
```

Computed properties:
Calculated total energy ... -4.5303 eV per atom
Magnetic moment ... 0.00 μB per formula unit
Mass density ... 7.6 g/cm3

***

Entry 3:
Density functional theory data (PBE-GGA) for an optimized crystal structure of Mg2SnIr.

```
Mg2SnIr
1.0
0.000 3.286 3.286
3.286 0.000 3.286
3.286 3.286 0.000
Ir Mg Sn
1 2 1
direct
0.250 0.250 0.250
0.000 0.000 0.000
0.750 0.750 0.750
0.500 0.500 0.500
```

Computed properties:
Calculated total energy ... -4.2209 eV per atom
Magnetic moment ... 0.00 μB per formula unit
Mass density ... 8.4 g/cm3

***

Entry 4:
Density functional theory data (PBE-GGA) for an optimized crystal structure of SrMg4SnIr2.

```
SrMg4SnIr2
1.0
-3.947 -1.263 5.237
5.717 -3.827 3.386
5.960 0.969 4.726
Ir Mg Sn Sr
2 4 1 1
direct
0.000 0.462 0.462
0.000 0.723 0.723
0.234 0.312 0.312
0.766 0.312 0.312
0.284 0.590 0.590
0.716 0.590 0.590
0.000 0.899 0.899
0.000 0.112 0.112
```

Computed properties:
Calculated total energy ... -3.5554 eV per atom
Magnetic moment ... 0.00 μB per formula unit
Mass density ... 4.7 g/cm3

***

Entry 5:
Density functional theory data (PBE-GGA) for an optimized crystal structure of MgTlSnIr.

```
MgTlSnIr
1.0
0.000 3.412 3.412
3.412 0.000 3.412
3.412 3.412 0.000
Ir Mg Sn Tl
1 1 1 1
direct
0.250 0.250 0.250
0.750 0.750 0.750
0.000 0.000 0.000
0.500 0.500 0.500
```

Computed properties:
Calculated total energy ... -4.0484 eV per atom
Magnetic moment ... 0.00 μB per formula unit
Mass density ... 11.3 g/cm3
Offset from the most stable computed form ... 0.0 kJ/mol of atoms

***

Entry 6:
Density functional theory data (PBE-GGA) for an optimized crystal structure of Sr3Mg2Ir.

```
Sr3Mg2Ir
1.0
4.626 0.000 0.000
0.000 4.626 0.000
0.000 0.000 8.926
Ir Mg Sr
1 2 3
direct
0.000 0.000 0.000
0.500 0.000 0.222
0.000 0.500 0.778
0.500 0.500 0.000
0.000 0.500 0.344
0.500 0.000 0.656
```

Computed properties:
Calculated total energy ... -2.7474 eV per atom
Magnetic moment ... 0.01 μB per formula unit
Mass density ... 4.4 g/cm3